A plane-wave DFT calculation with PBE+U was carried out for a geometry-optimized MnOF structure.

Properties
The calculation puts the total magnetic moment at 16.0 Bohr magnetons per cell. The calculated total energy comes out at -6.7095 eV/atom. Its volume is 149 Å³/cell.

```
data_MnOF
_cell_length_a 12.0434
_cell_length_b 3.8062
_cell_length_c 3.2593
_cell_angle_alpha 90.00
_cell_angle_beta 90.00
_cell_angle_gamma 90.00
_symmetry_space_group_name_H-M 'P n m a'
_symmetry_Int_Tables_number 62
_symmetry_space_group_name_Hall '-P 2ac 2n'
loop_
_atom_site_label
_atom_site_type_symbol
_atom_site_fract_x
_atom_site_fract_y
_atom_site_fract_z
Mn1 Mn 0.0802 0.2500 0.1882
O1 O 0.0409 0.7500 0.2186
F1 F 0.1803 0.2500 0.6413
```